# 1
GGA-PBE Ta2C, optimized geometry; energy relative to the elements = 0.155 eV/atom; E_tot = -10.821 eV per atom; total magnetic moment = 0.00 μB/cell
1.0
6.572 0.000 0.000
-3.286 5.692 0.000
0.000 0.000 3.201
Ta C
6 3
Cartesian
-0.828 1.434 0.000 Ta
-1.913 3.313 1.600 Ta
1.656 0.000 0.000 Ta
1.374 2.379 1.600 Ta
3.825 0.000 1.600 Ta
2.458 4.258 0.000 Ta
0.000 0.000 1.600 C
0.000 3.795 0.000 C
3.286 1.897 0.000 C



# 2
GGA-PBE TaC2, optimized geometry; energy relative to the elements = 2.274 eV/atom; E_tot = -7.826 eV per atom; total magnetic moment = 0.00 μB/cell; offset from the most stable computed form = 2.070 eV/atom
1.0
0.000 3.101 3.101
3.101 0.000 3.101
3.101 3.101 0.000
Ta C
2 4
Cartesian
0.775 0.775 0.775 Ta
5.426 5.426 5.426 Ta
3.101 1.550 1.550 C
1.550 3.101 1.550 C
1.550 1.550 3.101 C
3.101 3.101 3.101 C



# 3
GGA-PBE Ta2C, optimized geometry; energy relative to the elements = -0.103 eV/atom; E_tot = -11.079 eV per atom; total magnetic moment = 0.00 μB/cell
1.0
3.121 0.000 0.000
-1.560 2.703 0.000
0.000 0.000 10.580
Ta C
4 2
Cartesian
0.000 1.802 1.226 Ta
0.000 1.802 4.064 Ta
1.560 0.901 6.516 Ta
1.560 0.901 9.354 Ta
0.000 0.000 0.000 C
0.000 0.000 5.290 C



# 4
GGA-PBE Ta4C, optimized geometry; energy relative to the elements = 0.594 eV/atom; E_tot = -10.733 eV per atom; total magnetic moment = 0.00 μB/cell; offset from the most stable computed form = 0.737 eV/atom
1.0
-2.761 2.761 2.761
2.761 -2.761 2.761
2.761 2.761 -2.761
Ta C
4 1
Cartesian
1.380 1.380 -1.380 Ta
1.380 -1.380 1.380 Ta
-1.380 1.380 1.380 Ta
1.380 1.380 1.380 Ta
0.000 0.000 0.000 C



# 5
GGA-PBE Ta4C3, optimized geometry; energy relative to the elements = -0.083 eV/atom; E_tot = -10.809 eV per atom; total magnetic moment = 0.00 μB/cell; offset from the most stable computed form = 0.473 eV/atom
1.0
-1.528 1.528 9.439
1.528 -1.528 9.439
1.528 1.528 -9.439
Ta C
4 3
Cartesian
0.000 0.000 1.359 Ta
0.000 0.000 5.786 Ta
0.000 0.000 13.092 Ta
0.000 0.000 17.518 Ta
0.000 0.000 3.556 C
0.000 0.000 9.439 C
0.000 0.000 15.321 C



# 6
GGA-PBE Ta2C, optimized geometry; energy relative to the elements = 0.392 eV/atom; E_tot = -10.585 eV per atom; total magnetic moment = 0.00 μB/cell
1.0
3.531 0.000 0.000
0.000 3.531 0.000
0.000 0.000 6.521
Ta C
4 2
Cartesian
0.883 0.883 0.863 Ta
0.883 2.648 3.260 Ta
2.648 0.883 3.260 Ta
2.648 2.648 5.657 Ta
0.883 0.883 5.055 C
2.648 2.648 1.466 C



# 7
GGA-PBE Ta4C, optimized geometry; energy relative to the elements = 0.260 eV/atom; E_tot = -11.067 eV per atom; total magnetic moment = 0.00 μB/cell; offset from the most stable computed form = 0.403 eV/atom
1.0
-3.711 3.711 1.426
3.711 -3.711 1.426
3.711 3.711 -1.426
Ta C
4 1
Cartesian
5.489 0.367 0.000 Ta
0.367 1.932 0.000 Ta
3.344 1.778 1.426 Ta
-1.778 3.344 1.426 Ta
0.000 0.000 1.426 C



# 8
GGA-PBE TaC, optimized geometry; energy relative to the elements = -0.224 eV/atom; E_tot = -10.762 eV per atom; total magnetic moment = 0.00 μB/cell; offset from the most stable computed form = 0.353 eV/atom
1.0
1.562 -5.100 0.000
1.562 5.100 0.000
0.000 0.000 3.098
Ta C
2 2
Cartesian
1.562 3.619 2.324 Ta
1.562 -3.619 0.775 Ta
1.562 1.426 2.324 C
1.562 -1.426 0.775 C



# 9
GGA-PBE TaC, optimized geometry; energy relative to the elements = 0.402 eV/atom; E_tot = -10.137 eV per atom; total magnetic moment = 0.00 μB/cell; offset from the most stable computed form = 0.979 eV/atom
1.0
3.035 0.000 0.000
0.000 3.035 0.000
0.000 0.000 3.203
Ta C
1 1
Cartesian
0.000 0.000 0.000 Ta
1.517 1.517 0.000 C



# 10
GGA-PBE Tb2TaC, optimized geometry; energy relative to the elements = 0.491 eV/atom; E_tot = -7.093 eV per atom; total magnetic moment = 0.80 μB/cell
1.0
1.680 0.970 9.007
-1.680 0.970 9.007
0.000 -1.940 9.007
Tb Ta C
2 1 1
Cartesian
0.000 0.000 3.107 Tb
0.000 0.000 23.914 Tb
0.000 0.000 0.000 Ta
0.000 0.000 13.511 C



# 11
GGA-PBE TbTaC, optimized geometry; energy relative to the elements = -0.146 eV/atom; E_tot = -8.715 eV per atom; total magnetic moment = 0.00 μB/cell
1.0
2.872 1.658 5.485
-2.872 1.658 5.485
0.000 -3.316 5.485
Tb Ta C
3 3 3
Cartesian
-1.869 0.021 5.485 Tb
0.917 -1.629 5.485 Tb
0.952 1.608 5.485 Tb
-0.958 -1.658 8.290 Ta
-0.957 1.658 8.290 Ta
1.915 0.000 8.290 Ta
0.000 0.000 3.820 C
0.000 0.000 7.151 C
0.000 0.000 14.808 C



# 12
GGA-PBE TbTh2TaC4, optimized geometry; energy relative to the elements = -0.242 eV/atom; E_tot = -8.769 eV per atom; total magnetic moment = 0.00 μB/cell
1.0
-3.533 3.595 5.064
3.533 -3.595 5.064
3.533 3.595 -5.064
Tb Th Ta C
2 4 2 8
Cartesian
0.000 0.000 0.000 Tb
0.000 3.595 0.000 Tb
3.533 0.000 0.000 Th
-1.767 1.797 2.532 Th
0.000 0.000 5.064 Th
1.767 1.797 2.532 Th
1.767 1.797 -2.532 Ta
1.767 -1.797 2.532 Ta
3.533 3.389 -2.550 C
3.533 -0.206 2.550 C
1.772 1.797 -0.214 C
5.295 1.797 -0.214 C
-1.762 1.797 5.277 C
1.762 1.797 5.277 C
0.000 3.801 2.513 C
0.000 0.206 7.614 C



# 13
GGA-PBE TbU2TaC4, optimized geometry; energy relative to the elements = -0.316 eV/atom; E_tot = -9.810 eV per atom; total magnetic moment = 0.66 μB/cell
1.0
-3.376 3.464 4.880
3.376 -3.464 4.880
3.376 3.464 -4.880
Tb U Ta C
2 4 2 8
Cartesian
0.000 0.000 0.000 Tb
0.000 3.464 0.000 Tb
3.376 0.000 0.000 U
-1.688 1.732 2.440 U
0.000 0.000 4.880 U
1.688 1.732 2.440 U
1.688 1.732 -2.440 Ta
1.688 -1.732 2.440 Ta
3.376 -0.102 2.391 C
1.827 1.732 -0.107 C
4.924 1.732 -0.107 C
3.376 3.362 -2.391 C
0.000 0.102 7.271 C
-1.549 1.732 4.987 C
1.549 1.732 4.987 C
0.000 3.565 2.489 C



# 14
GGA-PBE TbTa2WC4, optimized geometry; energy relative to the elements = -0.252 eV/atom; E_tot = -10.025 eV per atom; total magnetic moment = 0.00 μB/cell
1.0
1.611 -5.729 0.000
1.611 5.729 0.000
0.000 0.000 11.387
Tb Ta W C
2 4 2 8
Cartesian
1.611 4.441 8.540 Tb
1.611 -4.441 2.847 Tb
1.611 1.477 6.071 Ta
1.611 1.477 11.009 Ta
1.611 -1.477 0.378 Ta
1.611 -1.477 5.316 Ta
1.611 3.963 2.847 W
1.611 -3.963 8.540 W
0.000 0.000 0.000 C
0.000 0.000 5.693 C
1.611 2.730 1.287 C
1.611 2.730 4.407 C
1.611 0.543 8.540 C
1.611 -0.543 2.847 C
1.611 -2.730 6.980 C
1.611 -2.730 10.100 C



# 15
GGA-PBE Ta2TcC, optimized geometry; energy relative to the elements = 0.087 eV/atom; E_tot = -10.737 eV per atom; total magnetic moment = 0.00 μB/cell
1.0
-3.738 3.738 2.191
3.738 -3.738 2.191
3.738 3.738 -2.191
Ta Tc C
4 2 2
Cartesian
0.923 1.869 0.548 Ta
-1.869 2.815 1.644 Ta
-0.923 5.607 0.548 Ta
1.869 4.660 1.644 Ta
3.738 0.000 1.096 Tc
0.000 0.000 2.191 Tc
0.000 0.000 0.000 C
0.000 3.738 1.096 C



# 16
GGA-PBE TaTcC3, optimized geometry; energy relative to the elements = 1.870 eV/atom; E_tot = -8.108 eV per atom; total magnetic moment = 0.00 μB/cell; offset from the most stable computed form = 0.000 eV/atom
1.0
3.911 0.000 0.000
0.000 3.911 0.000
0.000 0.000 3.911
Ta Tc C
1 1 3
Cartesian
0.000 0.000 0.000 Ta
1.955 1.955 1.955 Tc
0.000 1.955 1.955 C
1.955 0.000 1.955 C
1.955 1.955 0.000 C



# 17
GGA-PBE TaTcC3, optimized geometry; energy relative to the elements = 2.288 eV/atom; E_tot = -7.690 eV per atom; total magnetic moment = 0.00 μB/cell; offset from the most stable computed form = 0.418 eV/atom
1.0
4.069 0.000 0.000
0.000 4.069 0.000
0.000 0.000 4.069
Ta Tc C
1 1 3
Cartesian
0.000 0.000 0.000 Ta
2.034 2.034 2.034 Tc
0.000 0.000 2.034 C
0.000 2.034 0.000 C
2.034 0.000 0.000 C



# 18
GGA-PBE ThTa2TcC4, optimized geometry; energy relative to the elements = -0.258 eV/atom; E_tot = -10.056 eV per atom; total magnetic moment = 0.00 μB/cell
1.0
1.662 -5.736 0.000
1.662 5.736 0.000
0.000 0.000 11.105
Th Ta Tc C
2 4 2 8
Cartesian
1.662 4.556 8.329 Th
1.662 -4.556 2.776 Th
1.662 1.455 5.992 Ta
1.662 1.455 10.666 Ta
1.662 -1.455 0.439 Ta
1.662 -1.455 5.114 Ta
1.662 3.889 2.776 Tc
1.662 -3.889 8.329 Tc
0.000 0.000 0.000 C
0.000 0.000 5.553 C
1.662 2.697 1.226 C
1.662 2.697 4.327 C
1.662 0.744 8.329 C
1.662 -0.744 2.776 C
1.662 -2.697 6.778 C
1.662 -2.697 9.880 C



# 19
GGA-PBE TmTa2TcC4, optimized geometry; energy relative to the elements = -0.266 eV/atom; E_tot = -9.696 eV per atom; total magnetic moment = 0.00 μB/cell
1.0
1.610 -5.599 0.000
1.610 5.599 0.000
0.000 0.000 11.179
Tm Ta Tc C
2 4 2 8
Cartesian
1.610 4.243 8.385 Tm
1.610 -4.243 2.795 Tm
1.610 1.469 5.981 Ta
1.610 1.469 10.788 Ta
1.610 -1.469 0.391 Ta
1.610 -1.469 5.198 Ta
1.610 3.976 2.795 Tc
1.610 -3.976 8.385 Tc
0.000 0.000 0.000 C
0.000 0.000 5.590 C
1.610 2.677 1.295 C
1.610 2.677 4.294 C
1.610 0.495 8.385 C
1.610 -0.495 2.795 C
1.610 -2.677 6.885 C
1.610 -2.677 9.884 C



# 20
GGA-PBE TaTcW2C, optimized geometry; energy relative to the elements = 0.068 eV/atom; E_tot = -11.402 eV per atom; total magnetic moment = 0.00 μB/cell
1.0
4.183 0.000 0.000
0.000 4.183 0.000
0.000 0.000 4.139
Ta Tc W C
1 1 2 1
Cartesian
0.000 0.000 0.000 Ta
2.091 2.091 0.000 Tc
0.000 2.091 2.069 W
2.091 0.000 2.069 W
2.091 2.091 2.069 C



# 21
GGA-PBE TaTcWC2, optimized geometry; energy relative to the elements = 2.060 eV/atom; E_tot = -8.664 eV per atom; total magnetic moment = 1.93 μB/cell; offset from the most stable computed form = 0.000 eV/atom
1.0
4.006 0.000 0.000
0.000 4.006 0.000
0.000 0.000 5.236
Ta Tc W C
1 1 1 2
Cartesian
0.000 0.000 0.000 Ta
2.003 2.003 0.000 Tc
0.000 0.000 2.618 W
0.000 2.003 2.618 C
2.003 0.000 2.618 C



# 22
GGA-PBE TaTcWC2, optimized geometry; energy relative to the elements = 2.329 eV/atom; E_tot = -8.395 eV per atom; total magnetic moment = 0.01 μB/cell; offset from the most stable computed form = 0.269 eV/atom
1.0
4.018 0.000 0.000
0.000 4.018 0.000
0.000 0.000 5.061
Ta Tc W C
1 1 1 2
Cartesian
0.000 0.000 0.000 Ta
0.000 0.000 2.531 Tc
2.009 2.009 2.531 W
0.000 2.009 0.000 C
2.009 0.000 0.000 C



# 23
GGA-PBE TaTe2C, optimized geometry; E_tot = -5.341 eV per atom; total magnetic moment = 0.00 μB/cell
1.0
1.651 0.953 8.573
-1.651 0.953 8.573
0.000 -1.906 8.573
Ta Te C
1 2 1
Cartesian
0.000 0.000 0.000 Ta
0.000 0.000 2.736 Te
0.000 0.000 22.982 Te
0.000 0.000 12.859 C



# 24
GGA-PBE Ta3TeC, optimized geometry; E_tot = -9.407 eV per atom; total magnetic moment = 0.00 μB/cell; offset from the most stable computed form = 0.000 eV/atom
1.0
4.356 0.000 0.000
0.000 4.356 0.000
0.000 0.000 4.356
Ta Te C
3 1 1
Cartesian
0.000 0.000 2.178 Ta
0.000 2.178 0.000 Ta
2.178 0.000 0.000 Ta
2.178 2.178 2.178 Te
0.000 0.000 0.000 C



# 25
GGA-PBE Ta2TeC2, optimized geometry; E_tot = -8.861 eV per atom; total magnetic moment = 0.00 μB/cell; offset from the most stable computed form = 0.000 eV/atom
1.0
-2.101 2.101 4.984
2.101 -2.101 4.984
2.101 2.101 -4.984
Ta Te C
2 1 2
Cartesian
2.101 0.000 2.492 Ta
0.000 2.101 2.492 Ta
0.000 0.000 0.000 Te
0.000 0.000 2.966 C
0.000 0.000 7.003 C